1.
## LaGd2Zr (GGA-PBE)

Data for a geometry-optimized LaGd2Zr structure.

Geometry as extended XYZ:
```
4
Lattice="3.408 0.000 0.000 1.704 2.951 0.000 1.704 0.984 12.186" Properties=species:S:1:pos:R:3 pbc="T T T"
La 3.408 1.968 6.093
Gd 5.112 2.951 3.083
Gd 1.704 0.984 9.103
Zr 0.000 0.000 0.000
```

Summary:
Energy of formation from the pure elements   0.331 eV per atom
E_tot   -10.079 eV/atom
Symmetry   No. 166
Excess energy over the best structure of this formula in the dataset   249.4 meV/atom
DOS at the Fermi energy   6.66 states/eV/f.u.
Total magnetization   3.754 μB per atom

***

2.
## SrIrCl (GGA-PBE)

Data for a geometry-optimized SrIrCl structure.

Geometry as extended XYZ:
```
12
Lattice="6.137 0.000 0.000 0.000 4.445 0.000 0.000 0.000 11.200" Properties=species:S:1:pos:R:3 pbc="T T T"
Sr 1.546 3.333 6.709
Sr 4.590 1.111 4.491
Sr 4.615 3.333 10.091
Sr 1.522 1.111 1.109
Cl 1.735 3.333 3.714
Cl 4.402 1.111 7.486
Cl 1.334 1.111 9.314
Cl 4.803 3.333 1.886
Ir 4.636 3.333 6.922
Ir 4.569 1.111 1.322
Ir 1.501 1.111 4.278
Ir 1.568 3.333 9.878
```

Summary:
E_tot   -4.526 eV/atom
Symmetry   No. 62
Raw formation energy   -0.396 eV per atom
Excess energy over the best structure of this formula in the dataset   858.5 meV/atom
DOS at the Fermi energy   0.00 states/eV/f.u.
Total magnetization   0.000 μB per atom

***

3.
## KUB2O8 (GGA-PBE)

Data for a geometry-optimized KUB2O8 structure.

Geometry as extended XYZ:
```
12
Lattice="0.102 -5.071 1.564 4.451 -2.105 1.982 -1.856 1.698 7.270" Properties=species:S:1:pos:R:3 pbc="T T T"
O 0.487 -1.495 5.544
O 2.210 -3.983 5.272
O 3.326 -3.201 3.326
O -0.629 -2.277 7.490
O 1.355 -0.924 7.681
O 3.378 -5.519 4.020
O 1.342 -4.554 3.136
O -0.681 0.042 6.796
K -0.928 0.849 3.635
U 0.000 0.000 0.000
B 2.564 -4.310 3.915
B 0.134 -1.167 6.901
```

Summary:
E_tot   -7.470 eV/atom
Symmetry   No. 12
Raw formation energy   -2.019 eV per atom
DOS at the Fermi energy   4.79 states/eV/f.u.
Total magnetization   0.251 μB per atom

***

4.
## HfPbW3 (GGA-PBE)

Data for a geometry-optimized HfPbW3 structure.

Geometry as extended XYZ:
```
5
Lattice="4.892 0.000 0.000 0.000 4.892 0.000 0.000 0.000 4.892" Properties=species:S:1:pos:R:3 pbc="T T T"
W 0.000 0.000 2.446
W 0.000 2.446 0.000
W 2.446 0.000 0.000
Hf 0.000 0.000 0.000
Pb 2.446 2.446 2.446
```

Summary:
Energy of formation from the pure elements   2.396 eV per atom
E_tot   -8.108 eV/atom
Symmetry   No. 221
Excess energy over the best structure of this formula in the dataset   0.0 meV/atom
DOS at the Fermi energy   6.01 states/eV/f.u.
Total magnetization   0.000 μB per atom

***

5.
## LiCeSmRu (GGA-PBE)

Data for a geometry-optimized LiCeSmRu structure.

Geometry as extended XYZ:
```
4
Lattice="-3.840 2.293 2.227 -3.706 -2.696 1.989 -0.522 -0.251 4.963" Properties=species:S:1:pos:R:3 pbc="T T T"
Li -2.017 -0.164 2.295
Sm 0.000 0.000 0.000
Ce -4.034 -0.327 4.590
Ru -6.051 -0.491 6.885
```

Summary:
Energy of formation from the pure elements   -0.120 eV per atom
E_tot   -5.581 eV/atom
Symmetry   No. 216
DOS at the Fermi energy   7.48 states/eV/f.u.
Total magnetization   0.166 μB per atom

***

6.
## KLiSb2 (GGA-PBE)

Data for a geometry-optimized KLiSb2 structure.

Geometry as extended XYZ:
```
4
Lattice="-4.074 -2.652 2.030 -1.055 -1.987 4.763 -3.537 4.999 2.691" Properties=species:S:1:pos:R:3 pbc="T T T"
Li -6.499 0.270 7.113
Sb -3.214 4.466 2.464
Sb -4.656 0.713 4.969
K -2.166 0.090 2.371
```

Summary:
E_tot   -3.195 eV/atom
Symmetry   No. 12
Raw formation energy   -0.381 eV per atom
Excess energy over the best structure of this formula in the dataset   0.0 meV/atom
DOS at the Fermi energy   1.09 states/eV/f.u.
Total magnetization   0.000 μB per atom

***

Q: Which of these has the highest E_tot?
A: KLiSb2

***

Q: Among the records above, which one has the highest E_tot?
A: KLiSb2

***

Q: Which of these has the highest DOS at the Fermi energy?
A: LiCeSmRu